Entry 1:
Ba2Be2Ru after structural relaxation. Source: Alexandria, functional PBE. Values from VASP.

- Magnetic moment: 2.78 μB/cell
- E above lowest polymorph: 0.356 eV/atom

Quantum ESPRESSO input file:
```
&SYSTEM
  ibrav = 0, nat = 10, ntyp = 3
/
ATOMIC_SPECIES
Ba 137.33 Ba.upf
Be 9.01 Be.upf
Ru 101.07 Ru.upf
ATOMIC_POSITIONS crystal
Ba 0.2029 0.2971 0.0000
Ba 0.2971 0.7971 0.0000
Ba 0.7029 0.2029 0.0000
Ba 0.7971 0.7029 0.0000
Be 0.0835 0.5835 0.5000
Be 0.4165 0.0835 0.5000
Be 0.5835 0.9165 0.5000
Be 0.9165 0.4165 0.5000
Ru 0.0000 0.0000 0.0000
Ru 0.5000 0.5000 0.0000
CELL_PARAMETERS angstrom
8.8110 0.0000 0.0000
0.0000 8.8110 0.0000
0.0000 0.0000 3.4095
```

Entry 2:
Sr2ZnPbAu6 after structural relaxation. Source: Alexandria, functional PBE. Values from VASP.

- Magnetic moment: 0.00 μB/cell
- Energy: -0.11566 hartree per atom

Quantum ESPRESSO input file:
```
&SYSTEM
  ibrav = 0, nat = 10, ntyp = 4
/
ATOMIC_SPECIES
Sr 87.62 Sr.upf
Zn 65.41 Zn.upf
Pb 207.20 Pb.upf
Au 196.97 Au.upf
ATOMIC_POSITIONS crystal
Sr 0.2022 0.2000 0.3897
Sr 0.7978 0.8000 0.6103
Zn 0.5000 0.5000 0.5000
Pb 0.0000 0.0000 0.0000
Au 0.2517 0.7333 0.2671
Au 0.2577 0.2619 0.7313
Au 0.2650 0.7482 0.7332
Au 0.7350 0.2518 0.2668
Au 0.7423 0.7381 0.2687
Au 0.7483 0.2667 0.7329
CELL_PARAMETERS angstrom
6.1242 0.0000 0.0000
2.9660 5.4532 0.0000
2.9093 1.6711 8.3052
```